[1]
# CdCoBr2

CdCoBr2 after structural relaxation (PBE-GGA, Alexandria).

Output
Raw formation energy, eV/atom: 0.390
Calculated density, kg/m³: 6238
Energy relative to the lowest polymorph listed for this composition, kJ/mol of atoms: 49.7
Magnetic moment, μB per atom: 0.490
Density of states at the Fermi level, states/eV/cell: 5.0

a = 4.996 Å, b = 4.996 Å, c = 4.996 Å
α = 60.00°, β = 60.00°, γ = 60.00°
Fractional coordinates of all 4 atoms:
Co (0.000, 0.000, 0.000)
Br (0.250, 0.250, 0.250)
Br (0.750, 0.750, 0.750)
Cd (0.500, 0.500, 0.500)

***

[2]
# Y2Cd2Rh3

Y2Cd2Rh3 after structural relaxation (PBE-GGA, Alexandria).

Output
Formation enthalpy at 0 K, eV/atom: -0.54
Calculated density, kg/m³: 8225
Magnetic moment, μB per atom: 0.000
Density of states at the Fermi level, states/eV/cell: 4.0

a = 4.740 Å, b = 4.748 Å, c = 7.850 Å
α = 90.14°, β = 107.62°, γ = 119.79°
Fractional coordinates of all 7 atoms:
Y (0.770, 0.385, 0.154)
Y (0.230, 0.615, 0.846)
Cd (0.261, 0.131, 0.392)
Cd (0.739, 0.869, 0.608)
Rh (0.000, 0.000, 0.000)
Rh (0.509, 0.253, 0.765)
Rh (0.491, 0.747, 0.235)

***

[3]
# Tl2CoBr4

Tl2CoBr4 after structural relaxation (PBE-GGA, Alexandria).

Output
Raw formation energy, eV/atom: -0.524
Calculated density, kg/m³: 6193
Magnetic moment, μB per atom: 0.138
Density of states at the Fermi level, states/eV/cell: 6.3

a = 5.090 Å, b = 5.090 Å, c = 8.908 Å
α = 73.40°, β = 73.40°, γ = 90.00°
Fractional coordinates of all 7 atoms:
Tl (0.640, 0.640, 0.720)
Tl (0.360, 0.360, 0.280)
Co (0.000, 0.000, 0.000)
Br (0.849, 0.849, 0.302)
Br (0.151, 0.151, 0.698)
Br (0.000, 0.500, 0.000)
Br (0.500, 0.000, 0.000)

***

[4]
# KCu2Ag

KCu2Ag after structural relaxation (PBE-GGA, Alexandria).

Output
Formation enthalpy at 0 K, eV/atom: 0.34
Calculated density, kg/m³: 5438
Energy relative to the lowest polymorph listed for this composition, kJ/mol of atoms: 3.6
Magnetic moment, μB per atom: 0.000
Density of states at the Fermi level, states/eV/cell: 1.1

a = 2.896 Å, b = 4.047 Å, c = 7.141 Å
α = 90.00°, β = 90.00°, γ = 90.00°
Fractional coordinates of all 4 atoms:
Ag (0.500, 0.500, 0.750)
Cu (0.000, 0.000, 0.918)
Cu (0.000, 0.000, 0.582)
K (0.500, 0.500, 0.250)

***

[5]
# TiCo2Rh2

TiCo2Rh2 after structural relaxation (PBE-GGA, Alexandria).

Output
Formation enthalpy at 0 K, eV/atom: -0.05
Calculated density, kg/m³: 8958
Energy relative to the lowest polymorph listed for this composition, kJ/mol of atoms: 6.6
Magnetic moment, μB per atom: 0.693
Density of states at the Fermi level, states/eV/cell: 12.0

a = 7.076 Å, b = 7.076 Å, c = 2.751 Å
α = 90.00°, β = 90.00°, γ = 90.00°
Fractional coordinates of all 10 atoms:
Co (0.168, 0.668, 0.500)
Co (0.668, 0.832, 0.500)
Co (0.832, 0.332, 0.500)
Co (0.332, 0.168, 0.500)
Rh (0.368, 0.868, 0.000)
Rh (0.868, 0.632, 0.000)
Rh (0.632, 0.132, 0.000)
Rh (0.132, 0.368, 0.000)
Ti (0.000, 0.000, 0.000)
Ti (0.500, 0.500, 0.000)

***

[6]
# YGe2Pt3

YGe2Pt3 after structural relaxation (PBE-GGA, Alexandria).

Output
Formation enthalpy at 0 K, eV/atom: -0.85
Calculated density, kg/m³: 12539
Magnetic moment, μB per atom: 0.000
Density of states at the Fermi level, states/eV/cell: 8.3

a = 4.025 Å, b = 8.580 Å, c = 10.127 Å
α = 106.27°, β = 90.00°, γ = 103.57°
Fractional coordinates of all 18 atoms:
Y (0.153, 0.306, 0.690)
Y (0.847, 0.694, 0.310)
Y (0.000, 0.000, 0.000)
Ge (0.199, 0.398, 0.131)
Ge (0.801, 0.602, 0.869)
Ge (0.460, 0.920, 0.221)
Ge (0.540, 0.080, 0.779)
Ge (0.362, 0.723, 0.550)
Ge (0.638, 0.277, 0.450)
Pt (0.039, 0.079, 0.329)
Pt (0.961, 0.921, 0.671)
Pt (0.224, 0.447, 0.385)
Pt (0.776, 0.553, 0.615)
Pt (0.614, 0.228, 0.188)
Pt (0.386, 0.772, 0.812)
Pt (0.500, 0.000, 0.500)
Pt (0.325, 0.649, 0.045)
Pt (0.675, 0.351, 0.955)

***

[7]
# Sm3NpTl4S8

Sm3NpTl4S8 after structural relaxation (PBE-GGA, Alexandria).

Output
Raw formation energy, eV/atom: -1.348
Calculated density, kg/m³: 6641
Magnetic moment, μB per atom: 0.250
Density of states at the Fermi level, states/eV/cell: 6.0

a = 8.234 Å, b = 8.884 Å, c = 8.234 Å
α = 117.61°, β = 120.00°, γ = 90.00°
Fractional coordinates of all 16 atoms:
Sm (0.500, 0.500, 0.000)
Sm (0.500, 0.500, 0.500)
Sm (0.000, 0.500, 0.500)
Np (0.000, 0.500, 0.000)
Tl (0.500, 0.000, 0.000)
Tl (0.500, 0.000, 0.500)
Tl (0.000, 0.000, 0.000)
Tl (0.000, 0.000, 0.500)
S (0.232, 0.700, 0.968)
S (0.232, 0.700, 0.463)
S (0.266, 0.298, 0.532)
S (0.737, 0.700, 0.968)
S (0.263, 0.300, 0.032)
S (0.734, 0.702, 0.468)
S (0.768, 0.300, 0.537)
S (0.768, 0.300, 0.032)

***

[8]
# Th2FeCo12B3

Th2FeCo12B3 after structural relaxation (PBE-GGA, Alexandria).

Output
Formation enthalpy at 0 K, eV/atom: 0.14
Calculated density, kg/m³: 9025
Magnetic moment, μB per atom: 0.675
Density of states at the Fermi level, states/eV/cell: 24.2

a = 6.728 Å, b = 6.728 Å, c = 6.728 Å
α = 63.45°, β = 63.45°, γ = 63.45°
Fractional coordinates of all 18 atoms:
Th (0.601, 0.601, 0.601)
Th (0.399, 0.399, 0.399)
Fe (0.000, 0.000, 0.000)
Co (0.267, 0.267, 0.878)
Co (0.858, 0.858, 0.420)
Co (0.420, 0.858, 0.858)
Co (0.878, 0.267, 0.267)
Co (0.858, 0.420, 0.858)
Co (0.267, 0.878, 0.267)
Co (0.733, 0.733, 0.122)
Co (0.142, 0.142, 0.580)
Co (0.580, 0.142, 0.142)
Co (0.122, 0.733, 0.733)
Co (0.142, 0.580, 0.142)
Co (0.733, 0.122, 0.733)
B (0.500, 0.000, 0.000)
B (0.000, 0.500, 0.000)
B (0.000, 0.000, 0.500)